Compound: Tb2MgHg8
Source: the Alexandria database
Functional: GGA-PBE
Structure: relaxed

Calculated values
Final energy, eV/cell: -32.02
Density, kg/m3: 12106
DFT formation energy, eV per atom: -0.249
Energy relative to the lowest polymorph listed for this composition, kcal/mol of atoms: 0.47

Cell lengths 17.0905, 4.8026, 6.8730 Å; angles 90.00, 108.79, 90.00 degrees
Space group C2/m (No. 12)
Inequivalent atoms, fractional coordinates:
Tb: 0.2125 0.0000 0.1796
Mg: 0.0000 0.5000 0.5000
Hg: 0.0198 0.0000 0.2308
Hg: 0.1061 0.5000 0.9188
Hg: 0.1476 0.5000 0.3812
Hg: 0.1625 0.0000 0.6858